Record 1
First-principles (GGA-PBE) data for TlHgI after structural relaxation, as listed in the Alexandria database.

Values from the calculation:
* raw formation energy: -33.9 kJ per mole of atoms
* energy relative to the lowest polymorph listed for this composition: 0.19 eV/f.u.

Cell: 4.297 4.297 12.816 Å, 90.00 90.00 90.00°
Space group I4mm (No. 107)
One atom of each set of equivalent atoms:
Tl  0.000  0.000  0.000 (multiplicity 2)
Hg  0.000  0.000  0.682 (multiplicity 2)
I  0.000  0.000  0.371 (multiplicity 2)

***

Record 2
First-principles (GGA-PBE) data for Tl3Hg2I2 after structural relaxation, as listed in the Alexandria database.

Values from the calculation:
* raw formation energy: -29.3 kJ per mole of atoms

Cell: 4.972 6.399 9.900 Å, 81.60 85.76 67.90°
Space group P-1 (No. 2)
One atom of each set of equivalent atoms:
Tl  0.000  0.000  0.000 (multiplicity 1)
Tl  0.169  0.652  0.686 (multiplicity 2)
Hg  0.332  0.334  0.038 (multiplicity 2)
I  0.138  0.739  0.336 (multiplicity 2)

***

Record 3
First-principles (GGA-PBE) data for TlHg2I2 after structural relaxation, as listed in the Alexandria database.

Values from the calculation:
* raw formation energy: -22.3 kJ per mole of atoms
* energy relative to the lowest polymorph listed for this composition: 0.00 eV/f.u.

Cell: 4.283 4.283 19.701 Å, 90.00 90.00 90.00°
Space group I4/mmm (No. 139)
One atom of each set of equivalent atoms:
Tl  0.000  0.000  0.000 (multiplicity 2)
Hg  0.000  0.500  0.250 (multiplicity 4)
I  0.000  0.000  0.399 (multiplicity 4)

***

Record 4
First-principles (GGA-PBE) data for Tl2Hg2I7 after structural relaxation, as listed in the Alexandria database.

Values from the calculation:
* raw formation energy: -30.3 kJ per mole of atoms

Cell: 11.071 13.591 7.465 Å, 90.00 98.18 90.00°
Space group C2/m (No. 12)
One atom of each set of equivalent atoms:
Tl  0.000  0.203  0.000 (multiplicity 4)
Hg  0.248  0.000  0.583 (multiplicity 4)
I  0.000  0.500  0.500 (multiplicity 2)
I  0.098  0.000  0.242 (multiplicity 4)
I  0.246  0.179  0.775 (multiplicity 8)

***

Record 5
First-principles (GGA-PBE) data for Tl3Hg5I12 after structural relaxation, as listed in the Alexandria database.

Values from the calculation:
* raw formation energy: -33.5 kJ per mole of atoms

Cell: 19.173 19.173 19.173 Å, 90.00 90.00 90.00°
Space group Ia-3d (No. 230)
One atom of each set of equivalent atoms:
Tl  0.000  0.250  0.125 (multiplicity 24)
Hg  0.000  0.000  0.000 (multiplicity 16)
Hg  0.000  0.250  0.375 (multiplicity 24)
I  0.030  0.058  0.649 (multiplicity 96)

***

Record 6
First-principles (GGA-PBE) data for TlHg3I after structural relaxation, as listed in the Alexandria database.

Values from the calculation:
* raw formation energy: -20.1 kJ per mole of atoms
* energy relative to the lowest polymorph listed for this composition: 0.00 eV/f.u.

Cell: 5.479 5.952 7.000 Å, 68.19 89.92 62.65°
Space group P1 (No. 1)
One atom of each set of equivalent atoms:
Tl  0.000  0.000  0.000 (multiplicity 1)
Hg  0.146  0.711  0.520 (multiplicity 1)
Hg  0.534  0.936  0.675 (multiplicity 1)
Hg  0.806  0.390  0.469 (multiplicity 1)
I  0.347  0.307  0.093 (multiplicity 1)